NaLaCoBi after structural relaxation, computed with PBE-GGA.

a b c (Å): 5.3006 5.3006 5.3006
angles (deg): 60.00 60.00 60.00
Sites, in units of the cell vectors:
Bi 0.5000 0.5000 0.5000
Co 0.0000 0.0000 0.0000
La 0.2500 0.2500 0.2500
Na 0.7500 0.7500 0.7500

**Total moment**: 1.691 μB/f.u.
**E above lowest polymorph**: 0.50 eV per formula unit
**Crystal system**: cubic
**Energy**: -4.3298 eV/atom